The following is a PBE calculation of crystalline LaPm4Pr2Sm2 at its relaxed geometry, from the Alexandria database.

Its mass density is 6.8 Mg/m³. Its calculated total energy is -4.765 eV/atom. As for the formation energy: 0.0050 eV/atom.

It has space group C2/m (No. 12), with a = 19.241 Å, b = 3.705 Å, c = 9.842 Å, α = 90.00°, β = 115.73° and γ = 90.00°. The distinct sites, in fractional coordinates, are La at (0.000, 0.000, 0.000), Pm at (0.019, 0.500, 0.335), Pm at (0.186, 0.000, 0.335), Pr at (0.167, 0.500, 0.000) and Sm at (0.148, 0.000, 0.666).

The following is a PBE calculation of crystalline ZnAgIr3 at its relaxed geometry, from the Alexandria database.

Its mass density is 13.3 Mg/m³. Its calculated total energy is -4.561 eV/atom. The calculation puts the relative energy among the computed polymorphs at 0.0 kJ/mol of atoms. As for the formation energy: 1.5809 eV/atom.

It has space group Pm-3m (No. 221), with a = 4.541 Å, b = 4.541 Å, c = 4.541 Å, α = 90.00°, β = 90.00° and γ = 90.00°. The distinct sites, in fractional coordinates, are Zn at (0.000, 0.000, 0.000), Ag at (0.500, 0.500, 0.500) and Ir at (0.000, 0.000, 0.500).

The following is a PBE calculation of crystalline TbPr2DyTe5 at its relaxed geometry, from the Alexandria database.

Its mass density is 5.7 Mg/m³. Its uncorrected formation energy is -814 meV per atom. Its calculated total energy is -4.648 eV/atom.

It has space group P4/mmm (No. 123), with a = 5.565 Å, b = 5.565 Å, c = 11.591 Å, α = 90.00°, β = 90.00° and γ = 90.00°. The distinct sites, in fractional coordinates, are Tb at (0.000, 0.000, 0.000), Pr at (0.500, 0.500, 0.165), Dy at (0.000, 0.000, 0.500), Te at (0.000, 0.000, 0.255), Te at (0.000, 0.500, 0.000) and Te at (0.500, 0.500, 0.500).

The following is a PBE calculation of crystalline AlInRe2 at its relaxed geometry, from the Alexandria database.

Its mass density is 13.1 Mg/m³. Its calculated total energy is -7.344 eV/atom. The calculation puts the relative energy among the computed polymorphs at 38.4 kJ/mol of atoms. As for the formation energy: 0.4999 eV/atom.

It has space group I4/mmm (No. 139), with a = 3.953 Å, b = 3.953 Å, c = 8.316 Å, α = 90.00°, β = 90.00° and γ = 90.00°. The distinct sites, in fractional coordinates, are Al at (0.000, 0.000, 0.000), In at (0.000, 0.000, 0.500) and Re at (0.000, 0.500, 0.250).

The following is a PBE calculation of crystalline MgZrCu2 at its relaxed geometry, from the Alexandria database.

Its mass density is 6.3 Mg/m³. Its calculated total energy is -4.555 eV/atom. As for the formation energy: 0.0285 eV/atom.

It has space group F-43m (No. 216), with a = 6.351 Å, b = 6.351 Å, c = 6.351 Å, α = 90.00°, β = 90.00° and γ = 90.00°. The distinct sites, in fractional coordinates, are Mg at (0.000, 0.000, 0.000), Zr at (0.250, 0.250, 0.250), Cu at (0.000, 0.000, 0.500) and Cu at (0.250, 0.250, 0.750).

The following is a PBE calculation of crystalline Ac2InSb4Rh3 at its relaxed geometry, from the Alexandria database.

Its mass density is 9.3 Mg/m³. Its uncorrected formation energy is -704 meV per atom. Its calculated total energy is -5.653 eV/atom.

It has space group P-4m2 (No. 115), with a = 4.689 Å, b = 4.689 Å, c = 11.050 Å, α = 90.00°, β = 90.00° and γ = 90.00°. The distinct sites, in fractional coordinates, are Ac at (0.000, 0.500, 0.240), In at (0.000, 0.000, 0.500), Sb at (0.000, 0.000, 0.000), Sb at (0.000, 0.500, 0.648), Sb at (0.500, 0.500, 0.000), Rh at (0.000, 0.500, 0.884) and Rh at (0.500, 0.500, 0.500).

The following is a PBE calculation of crystalline Ba2CaNd at its relaxed geometry, from the Alexandria database.

Its mass density is 4.0 Mg/m³. Its calculated total energy is -2.491 eV/atom. The calculation puts the relative energy among the computed polymorphs at 2.0 kJ/mol of atoms. As for the formation energy: 0.1632 eV/atom.

It has space group P4/mmm (No. 123), with a = 6.516 Å, b = 6.516 Å, c = 4.531 Å, α = 90.00°, β = 90.00° and γ = 90.00°. The distinct sites, in fractional coordinates, are Ba at (0.000, 0.500, 0.000), Ca at (0.000, 0.000, 0.500) and Nd at (0.500, 0.500, 0.500).

The following is a PBE calculation of crystalline LiPm2Cd5 at its relaxed geometry, from the Alexandria database.

Its mass density is 7.4 Mg/m³. Its calculated total energy is -2.242 eV/atom. The calculation puts the relative energy among the computed polymorphs at 0.0 kJ/mol of atoms. As for the formation energy: -0.2436 eV/atom.

It has space group I4/mmm (No. 139), with a = 4.950 Å, b = 4.950 Å, c = 15.746 Å, α = 90.00°, β = 90.00° and γ = 90.00°. The distinct sites, in fractional coordinates, are Li at (0.000, 0.000, 0.000), Pm at (0.000, 0.000, 0.257), Cd at (0.000, 0.000, 0.500) and Cd at (0.000, 0.500, 0.109).

The following is a PBE calculation of crystalline BeZn2Rh at its relaxed geometry, from the Alexandria database.

Its mass density is 7.9 Mg/m³. Its calculated total energy is -3.653 eV/atom. The calculation puts the relative energy among the computed polymorphs at 4.1 kJ/mol of atoms. As for the formation energy: -0.2463 eV/atom.

It has space group Pm (No. 6), with a = 2.771 Å, b = 3.657 Å, c = 5.231 Å, α = 90.00°, β = 105.36° and γ = 90.00°. The distinct sites, in fractional coordinates, are Be at (0.000, 0.000, 0.000), Zn at (0.221, 0.000, 0.456), Zn at (0.846, 0.500, 0.705) and Rh at (0.573, 0.500, 0.157).

The following is a PBE calculation of crystalline CaHgI2N at its relaxed geometry, from the Alexandria database.

Its mass density is 4.6 Mg/m³. Its uncorrected formation energy is 86 meV per atom. Its calculated total energy is -2.660 eV/atom. The calculation puts the relative energy among the computed polymorphs at 0.0 kJ/mol of atoms.

It has space group P4/mmm (No. 123), with a = 6.230 Å, b = 6.230 Å, c = 4.738 Å, α = 90.00°, β = 90.00° and γ = 90.00°. The distinct sites, in fractional coordinates, are Ca at (0.000, 0.000, 0.000), Hg at (0.500, 0.500, 0.500), I at (0.000, 0.500, 0.000) and N at (0.000, 0.000, 0.500).

The following is a PBE calculation of crystalline NaLiCaIn at its relaxed geometry, from the Alexandria database.

Its mass density is 2.8 Mg/m³. Its calculated total energy is -2.149 eV/atom. As for the formation energy: -0.1558 eV/atom.

It has space group F-43m (No. 216), with a = 7.566 Å, b = 7.566 Å, c = 7.566 Å, α = 90.00°, β = 90.00° and γ = 90.00°. The distinct sites, in fractional coordinates, are Na at (0.000, 0.000, 0.000), Li at (0.250, 0.250, 0.750), Ca at (0.250, 0.250, 0.250) and In at (0.000, 0.000, 0.500).

The following is a PBE calculation of crystalline NaLiMg14 at its relaxed geometry, from the Alexandria database.

Its mass density is 1.7 Mg/m³. Its calculated total energy is -1.589 eV/atom. As for the formation energy: 0.0083 eV/atom.

It has space group Amm2 (No. 38), with a = 10.552 Å, b = 6.346 Å, c = 11.057 Å, α = 90.00°, β = 90.00° and γ = 90.00°. The distinct sites, in fractional coordinates, are Na at (0.000, 0.000, 0.000), Li at (0.000, 0.000, 0.499), Mg at (0.000, 0.248, 0.251), Mg at (0.243, 0.000, 0.663), Mg at (0.251, 0.248, 0.414), Mg at (0.252, 0.000, 0.166), Mg at (0.500, 0.000, 0.499), Mg at (0.500, 0.000, 0.998) and Mg at (0.500, 0.249, 0.748).

The following is a PBE calculation of crystalline MgHgAs2Br at its relaxed geometry, from the Alexandria database.

Its mass density is 5.4 Mg/m³. Its uncorrected formation energy is 323 meV per atom. Its calculated total energy is -2.250 eV/atom. The calculation puts the relative energy among the computed polymorphs at 0.0 kJ/mol of atoms.

It has space group P4/mmm (No. 123), with a = 5.189 Å, b = 5.189 Å, c = 5.163 Å, α = 90.00°, β = 90.00° and γ = 90.00°. The distinct sites, in fractional coordinates, are Mg at (0.000, 0.000, 0.000), Hg at (0.500, 0.500, 0.500), As at (0.000, 0.500, 0.000) and Br at (0.000, 0.000, 0.500).

The following is a PBE calculation of crystalline AcPr2Nd5Sm at its relaxed geometry, from the Alexandria database.

Its mass density is 6.9 Mg/m³. Its calculated total energy is -4.433 eV/atom. As for the formation energy: 0.2584 eV/atom.

It has space group I4/mcm (No. 140), with a = 9.016 Å, b = 9.016 Å, c = 16.279 Å, α = 90.00°, β = 90.00° and γ = 90.00°. The distinct sites, in fractional coordinates, are Ac at (0.000, 0.500, 0.250), Pr at (0.117, 0.383, 0.000), Nd at (0.000, 0.000, 0.000), Nd at (0.212, 0.288, 0.364) and Sm at (0.000, 0.000, 0.250).

The following is a PBE calculation of crystalline Ba2AgSn2 at its relaxed geometry, from the Alexandria database.

Its mass density is 5.8 Mg/m³. Its calculated total energy is -3.497 eV/atom. The calculation puts the relative energy among the computed polymorphs at 0.0 kJ/mol of atoms. As for the formation energy: -0.5565 eV/atom.

It has space group C2/m (No. 12), with a = 12.546 Å, b = 5.072 Å, c = 12.611 Å, α = 90.00°, β = 118.06° and γ = 90.00°. The distinct sites, in fractional coordinates, are Ba at (0.090, 0.000, 0.393), Ba at (0.202, 0.500, 0.158), Ag at (0.086, 0.500, 0.828), Sn at (0.063, 0.000, 0.929) and Sn at (0.119, 0.500, 0.612).

The following is a PBE calculation of crystalline PrInHgGe at its relaxed geometry, from the Alexandria database.

Its mass density is 8.7 Mg/m³. Its calculated total energy is -3.399 eV/atom. As for the formation energy: -0.2902 eV/atom.

It has space group F-43m (No. 216), with a = 7.384 Å, b = 7.384 Å, c = 7.384 Å, α = 90.00°, β = 90.00° and γ = 90.00°. The distinct sites, in fractional coordinates, are Pr at (0.000, 0.000, 0.000), In at (0.000, 0.000, 0.500), Hg at (0.250, 0.250, 0.750) and Ge at (0.250, 0.250, 0.250).

The following is a PBE calculation of crystalline PrNi4Bi at its relaxed geometry, from the Alexandria database.

Its mass density is 10.0 Mg/m³. Its calculated total energy is -5.447 eV/atom. As for the formation energy: -0.1489 eV/atom.

It has space group F-43m (No. 216), with a = 7.296 Å, b = 7.296 Å, c = 7.296 Å, α = 90.00°, β = 90.00° and γ = 90.00°. The distinct sites, in fractional coordinates, are Pr at (0.000, 0.000, 0.000), Ni at (0.125, 0.125, 0.375) and Bi at (0.250, 0.250, 0.750).

The following is a PBE calculation of crystalline Y6Te3C2N at its relaxed geometry, from the Alexandria database.

Its mass density is 6.0 Mg/m³. Its uncorrected formation energy is -1064 meV per atom. Its calculated total energy is -7.313 eV/atom.

It has space group C2/m (No. 12), with a = 6.613 Å, b = 11.452 Å, c = 7.320 Å, α = 90.00°, β = 107.52° and γ = 90.00°. The distinct sites, in fractional coordinates, are Y at (0.229, 0.000, 0.187), Y at (0.229, 0.333, 0.187), Te at (0.000, 0.000, 0.500), Te at (0.000, 0.333, 0.500), C at (0.000, 0.167, 0.000) and N at (0.000, 0.500, 0.000).

The following is a PBE calculation of crystalline Pd2RuPbF at its relaxed geometry, from the Alexandria database.

Its mass density is 10.5 Mg/m³. Its uncorrected formation energy is 332 meV per atom. Its calculated total energy is -4.717 eV/atom.

It has space group P4/mmm (No. 123), with a = 4.624 Å, b = 4.624 Å, c = 3.992 Å, α = 90.00°, β = 90.00° and γ = 90.00°. The distinct sites, in fractional coordinates, are Pd at (0.000, 0.500, 0.000), Ru at (0.000, 0.000, 0.500), Pb at (0.500, 0.500, 0.500) and F at (0.000, 0.000, 0.000).

The following is a PBE calculation of crystalline Rb2AgMo at its relaxed geometry, from the Alexandria database.

Its mass density is 2.8 Mg/m³. Its calculated total energy is -2.736 eV/atom. The calculation puts the relative energy among the computed polymorphs at 0.0 kJ/mol of atoms. As for the formation energy: 1.1681 eV/atom.

It has space group I-42d (No. 122), with a = 12.643 Å, b = 12.643 Å, c = 5.562 Å, α = 90.00°, β = 90.00° and γ = 90.00°. The distinct sites, in fractional coordinates, are Rb at (0.095, 0.250, 0.125), Ag at (0.000, 0.000, 0.000) and Mo at (0.000, 0.000, 0.500).